No. 1
DFT (SCAN) results for a crystal of AlGaBi3 relaxed with PBEsol.

```
AlGaBi3
1.0
-1.180 -1.123 -5.158
-1.794 -4.886 1.474
-4.965 2.032 0.693
Bi Ga Al
3 1 1
Cartesian
-0.897 -2.443 0.737
-2.483 1.016 0.347
-0.590 -0.562 -2.579
-3.970 -1.988 -1.495
0.000 0.000 0.000
```

mass density: 7.6 Mg/m³
volume: 158.30 Å³ per cell
E_form: 0.565 eV/atom
magnetization: 0.00 μB/cell

=====

No. 2
DFT (SCAN) results for a crystal of Al2BiH relaxed with PBEsol.

```
Al2BiH
1.0
-3.178 2.637 2.921
-3.553 -3.538 -0.672
5.369 -2.477 3.697
H Bi Al
2 2 4
Cartesian
-0.588 -0.145 3.872
-3.366 -0.450 1.125
-0.775 -3.233 2.075
0.000 0.000 0.000
-3.535 -2.248 1.962
-2.195 -0.117 2.699
2.541 -2.612 2.932
0.464 -1.779 4.301
```

mass density: 5.7 Mg/m³
total DFT energy (no corrections): -24.0493 eV/atom
volume: 153.18 Å³ per cell
magnetization: 0.00 μB/cell

=====

No. 3
DFT (SCAN) results for a crystal of AlBi3H relaxed with PBEsol.

```
AlBi3H
1.0
5.402 0.000 0.000
0.000 5.402 0.000
0.000 0.000 5.402
H Bi Al
1 3 1
Cartesian
2.701 2.701 2.701
0.000 2.701 0.000
0.000 0.000 2.701
2.701 0.000 0.000
0.000 0.000 0.000
```

mass density: 6.9 Mg/m³
total DFT energy (no corrections): -48.4518 eV/atom
volume: 157.64 Å³ per cell
magnetization: 0.95 μB/cell